[1]
# Sb2OsRuI

A relaxed Sb2OsRuI crystal (PBE, Alexandria via LeMat-Bulk).

POSCAR file:
```
Sb2OsRuI
1.0
-4.524 0.597 -1.958
1.521 -2.198 -4.185
-1.449 -4.669 1.925
Ru I Os Sb
1 1 1 2
Direct
0.000 0.000 0.000
0.000 0.000 0.500
0.500 0.500 0.500
0.500 0.000 0.000
0.000 0.500 0.000
```

Calculated values
polymorph energy (0 for the lowest one)	0.142	eV/atom
DOS at the Fermi energy	5.73	states/eV/cell

[2]
# KRbNa2Bi

A relaxed KRbNa2Bi crystal (PBE, Alexandria via LeMat-Bulk).

POSCAR file:
```
KRbNa2Bi
1.0
-1.509 4.149 -4.394
0.083 -4.514 -4.291
-6.716 -1.221 1.154
Bi Na K Rb
1 2 1 1
Direct
0.000 0.000 0.000
0.000 0.500 0.000
0.500 0.000 0.000
0.000 0.000 0.500
0.500 0.500 0.500
```

Calculated values
formation enthalpy at 0 K	-0.175	eV/atom
polymorph energy (0 for the lowest one)	0.000	eV/atom
DOS at the Fermi energy	2.96	states/eV/cell

[3]
# Nd2HoBi

A relaxed Nd2HoBi crystal (PBE, Alexandria via LeMat-Bulk).

POSCAR file:
```
Nd2HoBi
1.0
4.986 0.000 0.000
0.000 4.939 0.000
0.000 0.000 4.939
Ho Bi Nd
1 1 2
Direct
0.500 0.000 0.000
0.500 0.500 0.500
0.000 0.500 0.000
0.000 0.000 0.500
```

Calculated values
formation enthalpy at 0 K	-0.394	eV/atom
polymorph energy (0 for the lowest one)	0.000	eV/atom
DOS at the Fermi energy	3.98	states/eV/cell

[4]
# Tm3AgC

A relaxed Tm3AgC crystal (PBE, Alexandria via LeMat-Bulk).

POSCAR file:
```
Tm3AgC
1.0
-2.409 -1.670 3.818
2.943 -3.804 0.193
2.950 2.431 2.925
Ag Tm C
1 3 1
Direct
0.500 0.500 0.500
0.000 0.000 0.500
0.000 0.500 0.000
0.500 0.000 0.000
0.000 0.000 0.000
```

Calculated values
formation enthalpy at 0 K	-0.260	eV/atom
polymorph energy (0 for the lowest one)	0.054	eV/atom
DOS at the Fermi energy	6.74	states/eV/cell

[5]
# Li2YPd6

A relaxed Li2YPd6 crystal (PBE, Alexandria via LeMat-Bulk).

POSCAR file:
```
Li2YPd6
1.0
4.696 0.000 0.000
-2.348 4.067 0.000
0.000 0.000 8.938
Li Pd Y
2 6 1
Direct
0.667 0.333 0.500
0.333 0.667 0.500
0.000 0.337 0.742
0.337 0.337 0.258
0.663 0.663 0.742
0.337 0.000 0.742
0.663 0.000 0.258
0.000 0.663 0.258
0.000 0.000 0.000
```

Calculated values
formation enthalpy at 0 K	-0.336	eV/atom
DOS at the Fermi energy	3.27	states/eV/cell

[6]
# RbCeScO4

A relaxed RbCeScO4 crystal (PBE, Alexandria via LeMat-Bulk).

POSCAR file:
```
RbCeScO4
1.0
6.085 0.000 -0.501
0.000 6.115 0.000
-2.898 0.000 7.851
O Rb Ce Sc
8 2 2 2
Direct
0.994 0.483 0.662
0.994 0.017 0.662
0.468 0.750 0.215
0.503 0.750 0.550
0.006 0.983 0.338
0.532 0.250 0.785
0.497 0.250 0.450
0.006 0.517 0.338
0.441 0.750 0.864
0.559 0.250 0.136
0.202 0.250 0.536
0.798 0.750 0.464
0.772 0.250 0.681
0.228 0.750 0.319
```

Calculated values
total DFT energy (no corrections)	-7.600	eV per atom
DOS at the Fermi energy	0.00	states/eV/cell

[7]
# NiHRh2W

A relaxed NiHRh2W crystal (PBE, Alexandria via LeMat-Bulk).

POSCAR file:
```
NiHRh2W
1.0
-1.464 1.394 3.279
2.882 -1.621 1.976
2.134 3.265 -0.435
W Rh H Ni
1 2 1 1
Direct
0.000 0.000 0.500
0.500 0.000 0.000
0.000 0.500 0.000
0.000 0.000 0.000
0.500 0.500 0.500
```

Calculated values
polymorph energy (0 for the lowest one)	0.072	eV/atom
DOS at the Fermi energy	4.69	states/eV/cell

[8]
# Al2TlSe

A relaxed Al2TlSe crystal (PBE, Alexandria via LeMat-Bulk).

POSCAR file:
```
Al2TlSe
1.0
-5.483 -1.998 -1.281
-2.250 -4.741 2.856
2.732 5.156 1.284
Se Al Tl
1 2 1
Direct
0.500 0.500 0.000
0.250 0.750 0.500
0.000 0.000 0.000
0.750 0.250 0.500
```

Calculated values
polymorph energy (0 for the lowest one)	0.260	eV/atom
DOS at the Fermi energy	1.10	states/eV/cell